# 1
# Ac2PmAuSe5

Ac2PmAuSe5 after structural relaxation (GGA-PBE, Alexandria via LeMat-Bulk).

Computed properties:
The density is 7.9 g/cm³. The value obtained for the total energy is -48.5 eV per formula unit.

a b c (Å): 9.355 9.355 12.847
angles (deg): 90.00 90.00 153.45
Positions (direct):
Ac  0.117  0.883  0.500
Ac  0.122  0.878  0.127
Ac  0.878  0.122  0.627
Ac  0.883  0.117  0.000
Pm  0.189  0.811  0.821
Pm  0.811  0.189  0.321
Au  0.447  0.553  0.268
Au  0.553  0.447  0.768
Se  0.039  0.961  0.881
Se  0.294  0.706  0.481
Se  0.304  0.696  0.160
Se  0.353  0.647  0.816
Se  0.500  0.500  0.081
Se  0.500  0.500  0.581
Se  0.647  0.353  0.316
Se  0.696  0.304  0.660
Se  0.706  0.294  0.981
Se  0.961  0.039  0.381



# 2
# Tb4Er3In

Tb4Er3In after structural relaxation (GGA-PBE, Alexandria via LeMat-Bulk).

Computed properties:
As for the polymorph energy (0 for the lowest one): 0.012 eV per atom. The density is 8.7 g/cm³. For the formation energy, the calculation gives -0.103 eV per atom.

a b c (Å): 11.152 7.014 6.144
angles (deg): 90.00 90.00 90.00
Positions (direct):
Tb  0.000  0.129  0.000
Tb  0.000  0.868  0.464
Tb  0.236  0.871  0.823
Tb  0.264  0.129  0.323
Tb  0.500  0.132  0.964
Tb  0.500  0.871  0.500
Tb  0.736  0.129  0.323
Tb  0.764  0.871  0.823
Er  0.000  0.371  0.474
Er  0.244  0.383  0.803
Er  0.256  0.617  0.303
Er  0.500  0.629  0.974
Er  0.744  0.617  0.303
Er  0.756  0.383  0.803
In  0.000  0.617  0.982
In  0.500  0.383  0.482



# 3
# MnOsAu2

MnOsAu2 after structural relaxation (GGA-PBE, Alexandria via LeMat-Bulk).

Computed properties:
As for the polymorph energy (0 for the lowest one): 0.602 eV per atom. The density is 17.3 g/cm³. For the formation energy, the calculation gives 0.825 eV per atom.

a b c (Å): 6.265 6.265 6.265
angles (deg): 90.00 90.00 90.00
Positions (direct):
Mn  0.000  0.000  0.000
Mn  0.000  0.500  0.500
Mn  0.500  0.000  0.500
Mn  0.500  0.500  0.000
Os  0.000  0.000  0.500
Os  0.000  0.500  0.000
Os  0.500  0.000  0.000
Os  0.500  0.500  0.500
Au  0.250  0.250  0.250
Au  0.250  0.250  0.750
Au  0.250  0.750  0.250
Au  0.250  0.750  0.750
Au  0.750  0.250  0.250
Au  0.750  0.250  0.750
Au  0.750  0.750  0.250
Au  0.750  0.750  0.750



# 4
# LiPmPuAu

LiPmPuAu after structural relaxation (GGA-PBE, Alexandria via LeMat-Bulk).

Computed properties:
The density is 10.0 g/cm³. For the formation energy, the calculation gives -0.150 eV per atom.

a b c (Å): 7.334 7.334 7.334
angles (deg): 90.00 90.00 90.00
Positions (direct):
Li  0.000  0.000  0.000
Li  0.000  0.500  0.500
Li  0.500  0.000  0.500
Li  0.500  0.500  0.000
Pm  0.250  0.250  0.750
Pm  0.250  0.750  0.250
Pm  0.750  0.250  0.250
Pm  0.750  0.750  0.750
Pu  0.250  0.250  0.250
Pu  0.250  0.750  0.750
Pu  0.750  0.250  0.750
Pu  0.750  0.750  0.250
Au  0.000  0.000  0.500
Au  0.000  0.500  0.000
Au  0.500  0.000  0.000
Au  0.500  0.500  0.500



# 5
# Cs12Rb7P

Cs12Rb7P after structural relaxation (GGA-PBE, Alexandria via LeMat-Bulk).

Computed properties:
The density is 1.9 g/cm³. For the formation energy, the calculation gives -0.038 eV per atom.

a b c (Å): 14.010 14.010 14.010
angles (deg): 111.03 111.03 111.03
Positions (direct):
Cs  0.023  0.166  0.265
Cs  0.166  0.265  0.023
Cs  0.237  0.662  0.608
Cs  0.265  0.023  0.166
Cs  0.338  0.392  0.763
Cs  0.392  0.763  0.338
Cs  0.608  0.237  0.662
Cs  0.662  0.608  0.237
Cs  0.735  0.977  0.834
Cs  0.763  0.338  0.392
Cs  0.834  0.735  0.977
Cs  0.977  0.834  0.735
Rb  0.078  0.539  0.868
Rb  0.132  0.922  0.461
Rb  0.461  0.132  0.922
Rb  0.500  0.500  0.500
Rb  0.539  0.868  0.078
Rb  0.868  0.078  0.539
Rb  0.922  0.461  0.132
P  0.000  0.000  0.000



What did we get for Fermi-level density of states? Answer: 0.2; 10.5; 5.8; 10.5; 18.5 states/eV/f.u., in the order shown.